Entry 1:
A relaxed structure of Dy2NbAs4. Source: OQMD, functional PBE.

abc: 6.013 6.013 6.013
angles: 115.99 115.99 97.10
Atoms (fractional coordinates):
Dy: 0.250 0.750 0.500
Dy: 0.750 0.250 0.500
Nb: 0.000 0.000 0.000
As: 0.280 0.280 0.560
As: 0.280 0.720 0.000
As: 0.720 0.280 0.000
As: 0.720 0.720 0.440


Entry 2:
A relaxed structure of DyYSi4Pd2. Source: OQMD, functional PBE.

abc: 4.106 8.872 8.872
angles: 26.46 90.00 90.00
Atoms (fractional coordinates):
Dy: 0.000 0.000 0.000
Y: 0.500 0.800 0.800
Si: 0.000 0.365 0.365
Si: 0.000 0.649 0.649
Si: 0.500 0.151 0.151
Si: 0.500 0.434 0.434
Pd: 0.000 0.227 0.227
Pd: 0.500 0.572 0.572


Entry 3:
A relaxed structure of LiReAgTe2Se. Source: OQMD, functional PBE.

abc: 7.273 7.273 10.179
angles: 90.00 90.00 151.04
Atoms (fractional coordinates):
Li: 0.249 0.751 0.750
Li: 0.751 0.249 0.250
Re: 0.500 0.500 0.000
Re: 0.500 0.500 0.500
Ag: 0.060 0.940 0.250
Ag: 0.940 0.060 0.750
Te: 0.146 0.854 0.016
Te: 0.146 0.854 0.484
Te: 0.854 0.146 0.516
Te: 0.854 0.146 0.984
Se: 0.421 0.579 0.250
Se: 0.579 0.421 0.750


Entry 4:
A relaxed structure of BeAsPdO. Source: OQMD, functional PBE.

abc: 3.606 3.606 8.869
angles: 90.00 90.00 90.00
Atoms (fractional coordinates):
Be: 0.250 0.250 0.014
Be: 0.750 0.750 0.986
As: 0.250 0.250 0.303
As: 0.750 0.750 0.697
Pd: 0.250 0.750 0.500
Pd: 0.750 0.250 0.500
O: 0.250 0.750 0.000
O: 0.750 0.250 0.000

Computed properties:
The energy above the most stable polymorph in this dataset comes out at 0.17 eV per formula unit.


One value per record, in order, for VASP energy: -41.5; -49.6; -53.0; -44.4 eV per cell.